Here is TlV2Sb2 after structural relaxation from the Alexandria database. Energies are from GGA-PBE.

For the raw formation energy, the calculation gives 0.418 eV per atom. The calculation puts the energy above the most stable polymorph in this dataset at 0.2618 eV per atom. The calculation puts the uncorrected energy at -5.3521 eV per atom.

The structure belongs to space group I4/mmm (No. 139); the cell edges are 4.8310, 4.8310 and 9.9221 Å and the angles 90.00°, 90.00° and 90.00°. Symmetry generates all atoms from Tl at (0.0000, 0.0000, 0.0000), V at (0.0000, 0.0000, 0.4045) and Sb at (0.0000, 0.5000, 0.2500).


Here is Y2HfO after structural relaxation from the Alexandria database. Energies are from GGA-PBE.

For the raw formation energy, the calculation gives -1.018 eV per atom. The calculation puts the uncorrected energy at -7.9777 eV per atom.

The structure belongs to space group R-3m (No. 166, hexagonal axes); the cell edges are 3.3322, 3.3322 and 27.2060 Å and the angles 90.00°, 90.00° and 120.00°. Symmetry generates all atoms from Y at (0.0000, 0.0000, 0.1153), Hf at (0.0000, 0.0000, 0.0000) and O at (0.0000, 0.0000, 0.5000).


Here is Sm2CuBi after structural relaxation from the Alexandria database. Energies are from GGA-PBE.

The calculation puts the uncorrected energy at -4.7410 eV per atom. Its formation energy from the elements is -0.387 eV/atom.

The structure belongs to space group P4/mmm (No. 123); the cell edges are 5.1036, 5.1036 and 4.0862 Å and the angles 90.00°, 90.00° and 90.00°. Symmetry generates all atoms from Sm at (0.0000, 0.5000, 0.0000), Cu at (0.0000, 0.0000, 0.5000) and Bi at (0.5000, 0.5000, 0.5000).


Here is Ta3TiO7 after structural relaxation from the Alexandria database. Energies are from GGA-PBE.

For the raw formation energy, the calculation gives -2.364 eV per atom. The calculation puts the uncorrected energy at -9.4692 eV per atom.

The structure belongs to space group R3m (No. 160, hexagonal axes); the cell edges are 8.3235, 8.3235 and 7.8579 Å and the angles 90.00°, 90.00° and 120.00°. Symmetry generates all atoms from Ta at (0.2202, 0.1101, 0.0000), Ti at (0.0000, 0.0000, 0.4313), O at (0.0000, 0.0000, 0.1903), O at (0.0521, 0.5260, 0.5527) and O at (0.0955, 0.5477, 0.1699).


Here is TbCe2C2I2 after structural relaxation from the Alexandria database. Energies are from GGA-PBE.

For the raw formation energy, the calculation gives -0.482 eV per atom. The calculation puts the uncorrected energy at -5.9168 eV per atom.

The structure belongs to space group I4/mmm (No. 139); the cell edges are 4.5715, 4.5715 and 18.9439 Å and the angles 90.00°, 90.00° and 90.00°. Symmetry generates all atoms from Tb at (0.0000, 0.0000, 0.0000), Ce at (0.0000, 0.0000, 0.4235), C at (0.0000, 0.5000, 0.0000) and I at (0.0000, 0.0000, 0.1681).


Here is CePr3Er3 after structural relaxation from the Alexandria database. Energies are from GGA-PBE.

The calculation puts the uncorrected energy at -4.6277 eV per atom. Its formation energy from the elements is 0.224 eV/atom.

The structure belongs to space group C2/m (No. 12); the cell edges are 11.5506, 11.5141 and 7.2314 Å and the angles 90.00°, 90.10° and 90.00°. Symmetry generates all atoms from Ce at (0.2019, 0.0000, 0.9997), Pr at (0.9998, 0.5000, 0.2512), Pr at (0.2490, 0.2517, 0.2476), Er at (0.0000, 0.2066, 0.5000), Er at (0.0000, 0.2230, 0.0000) and Er at (0.2189, 0.0000, 0.4984).


Here is SrTcO3 after structural relaxation from the Alexandria database. Energies are from GGA-PBE.

For the raw formation energy, the calculation gives -1.955 eV per atom. The calculation puts the uncorrected energy at -7.3390 eV per atom.

The structure belongs to space group C2/c (No. 15); the cell edges are 11.0445, 9.6451 and 5.2986 Å and the angles 90.00°, 94.19° and 90.00°. Symmetry generates all atoms from Sr at (0.2014, 0.1148, 0.2817), Tc at (0.0000, 0.2647, 0.7500), Tc at (0.0000, 0.4522, 0.2500), O at (0.0944, 0.3043, 0.4478), O at (0.1164, 0.4170, 0.9643) and O at (0.1220, 0.1263, 0.8395).


Here is ErTmRuPt after structural relaxation from the Alexandria database. Energies are from GGA-PBE.

The calculation puts the energy above the most stable polymorph in this dataset at 0.0487 eV per atom. The calculation puts the uncorrected energy at -6.9502 eV per atom. Its formation energy from the elements is -0.862 eV/atom.

The structure belongs to space group F-43m (No. 216); the cell edges are 6.8066, 6.8066 and 6.8066 Å and the angles 90.00°, 90.00° and 90.00°. Symmetry generates all atoms from Er at (0.0000, 0.0000, 0.0000), Tm at (0.0000, 0.0000, 0.5000), Ru at (0.2500, 0.2500, 0.7500) and Pt at (0.2500, 0.2500, 0.2500).


Here is BeSn2O after structural relaxation from the Alexandria database. Energies are from GGA-PBE.

For the raw formation energy, the calculation gives -0.220 eV per atom. The calculation puts the energy above the most stable polymorph in this dataset at 0.0000 eV per atom. The calculation puts the uncorrected energy at -4.3926 eV per atom.

The structure belongs to space group I-42d (No. 122); the cell edges are 5.2959, 5.2959 and 11.2748 Å and the angles 90.00°, 90.00° and 90.00°. Symmetry generates all atoms from Be at (0.0000, 0.0000, 0.0000), Sn at (0.2350, 0.2500, 0.6250) and O at (0.0000, 0.0000, 0.5000).


Here is LaYSbTe2 after structural relaxation from the Alexandria database. Energies are from GGA-PBE.

For the raw formation energy, the calculation gives -0.635 eV per atom. The calculation puts the energy above the most stable polymorph in this dataset at 0.0000 eV per atom. The calculation puts the uncorrected energy at -4.9946 eV per atom.

The structure belongs to space group P4/mmm (No. 123); the cell edges are 5.7353, 5.7353 and 5.7402 Å and the angles 90.00°, 90.00° and 90.00°. Symmetry generates all atoms from La at (0.0000, 0.0000, 0.0000), Y at (0.5000, 0.5000, 0.5000), Sb at (0.5000, 0.5000, 0.0000) and Te at (0.0000, 0.5000, 0.5000).


Here is AgHg3Pb6 after structural relaxation from the Alexandria database. Energies are from GGA-PBE.

The calculation puts the uncorrected energy at -2.5460 eV per atom. Its formation energy from the elements is 0.055 eV/atom.

The structure belongs to space group P2_1/m (No. 11); the cell edges are 11.5751, 3.4591 and 15.5450 Å and the angles 90.00°, 111.41° and 90.00°. Symmetry generates all atoms from Ag at (0.1104, 0.2500, 0.2119), Hg at (0.1280, 0.2500, 0.5788), Hg at (0.3628, 0.2500, 0.3445), Hg at (0.3773, 0.7500, 0.9635), Pb at (0.0808, 0.2500, 0.9421), Pb at (0.1266, 0.7500, 0.3857), Pb at (0.1412, 0.7500, 0.7669), Pb at (0.2786, 0.7500, 0.1365), Pb at (0.3829, 0.2500, 0.5546) and Pb at (0.4329, 0.7500, 0.7604).


Here is CeScB2O6 after structural relaxation from the Alexandria database. Energies are from GGA-PBE.

For the raw formation energy, the calculation gives -2.994 eV per atom. The calculation puts the uncorrected energy at -8.5306 eV per atom.

The structure belongs to space group R-3 (No. 148, hexagonal axes); the cell edges are 4.9875, 4.9875 and 16.5837 Å and the angles 90.00°, 90.00° and 120.00°. Symmetry generates all atoms from Ce at (0.0000, 0.0000, 0.0000), Sc at (0.0000, 0.0000, 0.5000), B at (0.0000, 0.0000, 0.2420) and O at (0.0359, 0.2942, 0.2439).


Here is Sr2Co2Pd after structural relaxation from the Alexandria database. Energies are from GGA-PBE.

The calculation puts the energy above the most stable polymorph in this dataset at 0.0773 eV per atom. The calculation puts the uncorrected energy at -4.3813 eV per atom. Its formation energy from the elements is 0.172 eV/atom.

The structure belongs to space group P4/mbm (No. 127); the cell edges are 6.9112, 6.9112 and 4.5750 Å and the angles 90.00°, 90.00° and 90.00°. Symmetry generates all atoms from Sr at (0.1862, 0.3138, 0.0000), Co at (0.1126, 0.6126, 0.5000) and Pd at (0.0000, 0.0000, 0.5000).


Here is Cs3HfRu after structural relaxation from the Alexandria database. Energies are from GGA-PBE.

The calculation puts the uncorrected energy at -2.5275 eV per atom. Its formation energy from the elements is 1.830 eV/atom.

The structure belongs to space group Pm-3m (No. 221); the cell edges are 5.9892, 5.9892 and 5.9892 Å and the angles 90.00°, 90.00° and 90.00°. Symmetry generates all atoms from Cs at (0.0000, 0.0000, 0.5000), Hf at (0.5000, 0.5000, 0.5000) and Ru at (0.0000, 0.0000, 0.0000).


Here is ErTm4Th after structural relaxation from the Alexandria database. Energies are from GGA-PBE.

The calculation puts the energy above the most stable polymorph in this dataset at 0.0000 eV per atom. The calculation puts the uncorrected energy at -4.9801 eV per atom. Its formation energy from the elements is -0.002 eV/atom.

The structure belongs to space group Cmc2_1 (No. 36); the cell edges are 3.5423, 18.2369 and 11.3335 Å and the angles 90.00°, 90.00° and 90.00°. Symmetry generates all atoms from Er at (0.0000, 0.2212, 0.0000), Tm at (0.0000, 0.0014, 0.7537), Tm at (0.0000, 0.1121, 0.5060), Tm at (0.0000, 0.3315, 0.7513), Tm at (0.0000, 0.4450, 0.5012) and Th at (0.0000, 0.3341, 0.2520).


Here is Ba2Zn3InGa4 after structural relaxation from the Alexandria database. Energies are from GGA-PBE.

The calculation puts the uncorrected energy at -2.6023 eV per atom. Its formation energy from the elements is -0.351 eV/atom.

The structure belongs to space group P-4m2 (No. 115); the cell edges are 4.5802, 4.5802 and 11.2217 Å and the angles 90.00°, 90.00° and 90.00°. Symmetry generates all atoms from Ba at (0.0000, 0.5000, 0.2432), Zn at (0.0000, 0.5000, 0.8761), Zn at (0.5000, 0.5000, 0.5000), In at (0.0000, 0.0000, 0.5000), Ga at (0.0000, 0.0000, 0.0000), Ga at (0.0000, 0.5000, 0.6425) and Ga at (0.5000, 0.5000, 0.0000).


Here is Tc3P after structural relaxation from the Alexandria database. Energies are from GGA-PBE.

The calculation puts the energy above the most stable polymorph in this dataset at 0.4578 eV per atom. The calculation puts the uncorrected energy at -9.0087 eV per atom. Its formation energy from the elements is 0.118 eV/atom.

The structure belongs to space group I4/mmm (No. 139); the cell edges are 3.6415, 3.6415 and 16.8921 Å and the angles 90.00°, 90.00° and 90.00°. Symmetry generates all atoms from Tc at (0.0000, 0.0000, 0.1305), Tc at (0.0000, 0.5000, 0.0000), Tc at (0.0000, 0.5000, 0.2500) and P at (0.0000, 0.0000, 0.3856).


Here is LiCdIn2Hg4 after structural relaxation from the Alexandria database. Energies are from GGA-PBE.

The calculation puts the uncorrected energy at -1.2363 eV per atom. Its formation energy from the elements is -0.047 eV/atom.

The structure belongs to space group C2/m (No. 12); the cell edges are 15.8583, 6.6191 and 10.3529 Å and the angles 90.00°, 130.66° and 90.00°. Symmetry generates all atoms from Li at (0.2500, 0.2500, 0.0000), Cd at (0.0000, 0.0000, 0.0000), Cd at (0.0000, 0.0000, 0.5000), In at (0.0000, 0.5000, 0.0000), In at (0.0000, 0.5000, 0.5000), In at (0.2500, 0.2500, 0.5000), Hg at (0.0049, 0.2448, 0.7549), Hg at (0.2478, 0.0000, 0.2282) and Hg at (0.2478, 0.0000, 0.7675).


Here is K2ZrCu after structural relaxation from the Alexandria database. Energies are from GGA-PBE.

The calculation puts the energy above the most stable polymorph in this dataset at 0.0000 eV per atom. The calculation puts the uncorrected energy at -3.3022 eV per atom. Its formation energy from the elements is 0.408 eV/atom.

The structure belongs to space group Pm (No. 6); the cell edges are 3.4964, 3.5198 and 11.1990 Å and the angles 90.00°, 90.48° and 90.00°. Symmetry generates all atoms from K at (0.0000, 0.0000, 0.0000), K at (0.4849, 0.5000, 0.3884), Zr at (0.9911, 0.0000, 0.6754) and Cu at (0.4939, 0.5000, 0.7764).


Here is Pr4Al16Co3 after structural relaxation from the Alexandria database. Energies are from GGA-PBE.

The calculation puts the uncorrected energy at -4.8039 eV per atom. Its formation energy from the elements is -0.442 eV/atom.

The structure belongs to space group P4/mmm (No. 123); the cell edges are 6.1315, 6.1315 and 11.4364 Å and the angles 90.00°, 90.00° and 90.00°. Symmetry generates all atoms from Pr at (0.0000, 0.5000, 0.1944), Al at (0.0000, 0.0000, 0.1922), Al at (0.2241, 0.2241, 0.0000), Al at (0.2510, 0.2510, 0.3878), Al at (0.5000, 0.5000, 0.2153), Co at (0.0000, 0.5000, 0.5000) and Co at (0.5000, 0.5000, 0.0000).


Here is LaTaCr2 after structural relaxation from the Alexandria database. Energies are from GGA-PBE.

The calculation puts the energy above the most stable polymorph in this dataset at 0.0909 eV per atom. The calculation puts the uncorrected energy at -8.5207 eV per atom. Its formation energy from the elements is 0.486 eV/atom.

The structure belongs to space group P4/mmm (No. 123); the cell edges are 3.4038, 3.4038 and 6.8327 Å and the angles 90.00°, 90.00° and 90.00°. Symmetry generates all atoms from La at (0.0000, 0.0000, 0.0000), Ta at (0.0000, 0.0000, 0.5000) and Cr at (0.5000, 0.5000, 0.3387).


Here is Sc3CdN after structural relaxation from the Alexandria database. Energies are from GGA-PBE.

For the raw formation energy, the calculation gives -0.575 eV per atom. The calculation puts the uncorrected energy at -6.2218 eV per atom.

The structure belongs to space group Fd-3m (No. 227, origin choice 2); the cell edges are 11.9811, 11.9811 and 11.9811 Å and the angles 90.00°, 90.00° and 90.00°. Symmetry generates all atoms from Sc at (0.0581, 0.3750, 0.3750), Cd at (0.0000, 0.0000, 0.5000) and N at (0.0000, 0.0000, 0.0000).